Entry 1:
Compound: PaTlPt4
Source: Alexandria
Functional: PBE
Structure: optimized geometry

Structure (extended XYZ):
```
6
Lattice="0.0000 3.8346 3.8346 3.8346 0.0000 3.8346 3.8346 3.8346 0.0000" Properties=species:S:1:pos:R:3 pbc="T T T"
Pa 0.0000 0.0000 0.0000
Tl 5.7519 5.7519 5.7519
Pt 2.8779 2.8779 2.8779
Pt 4.7912 4.7912 2.8779
Pt 4.7912 2.8779 4.7912
Pt 2.8779 4.7912 4.7912
```

Properties
The value obtained for the raw total energy is -40.0 eV for the cell shown. The density of states at the Fermi level comes out at 0.3233 states/eV per atom. For the density, the calculation gives 17903 kg/m³. The calculation puts the formation energy from the elements at -3.9 eV per formula unit. As for the space-group type: F-43m, No. 216.


Entry 2:
Compound: Pa2TlPt9
Source: Alexandria
Functional: PBE
Structure: optimized geometry

Structure (extended XYZ):
```
12
Lattice="4.1778 0.0000 0.0000 0.0000 4.1778 0.0000 0.0000 0.0000 12.3235" Properties=species:S:1:pos:R:3 pbc="T T T"
Pa 0.0000 0.0000 2.1052
Pa 0.0000 0.0000 10.2183
Tl 0.0000 0.0000 6.1617
Pt 0.0000 2.0889 0.0000
Pt 0.0000 2.0889 4.0539
Pt 0.0000 2.0889 8.2696
Pt 2.0889 0.0000 0.0000
Pt 2.0889 0.0000 4.0539
Pt 2.0889 0.0000 8.2696
Pt 2.0889 2.0889 2.0620
Pt 2.0889 2.0889 6.1617
Pt 2.0889 2.0889 10.2615
```

Properties
The value obtained for the raw total energy is -84.4 eV for the cell shown. The density of states at the Fermi level comes out at 0.6474 states/eV per atom. For the density, the calculation gives 18699 kg/m³. The calculation puts the formation energy from the elements at -8.7 eV per formula unit. As for the space-group type: P4/mmm, No. 123.


Entry 3:
Compound: PaTlPt
Source: Alexandria
Functional: PBE
Structure: optimized geometry

Structure (extended XYZ):
```
6
Lattice="1.7329 -8.3342 0.0000 1.7329 8.3342 0.0000 0.0000 0.0000 4.9173" Properties=species:S:1:pos:R:3 pbc="T T T"
Pa 1.7329 6.8451 3.6879
Pa 1.7329 -6.8451 1.2293
Tl 1.7329 4.7178 1.2293
Tl 1.7329 -4.7178 3.6879
Pt 1.7329 0.8286 3.6879
Pt 1.7329 -0.8286 1.2293
```

Properties
The value obtained for the raw total energy is -38.3 eV for the cell shown. The density of states at the Fermi level comes out at 1.2335 states/eV per atom. For the density, the calculation gives 14743 kg/m³. The calculation puts the formation energy from the elements at -1.3 eV per formula unit. As for the space-group type: Cmcm, No. 63.


Entry 4:
Compound: PaTlPt
Source: Alexandria
Functional: PBE
Structure: optimized geometry

Structure (extended XYZ):
```
3
Lattice="0.0000 3.3562 3.3562 3.3562 0.0000 3.3562 3.3562 3.3562 0.0000" Properties=species:S:1:pos:R:3 pbc="T T T"
Pa 0.0000 0.0000 0.0000
Tl 3.3562 3.3562 3.3562
Pt 5.0343 5.0343 5.0343
```

Properties
The value obtained for the raw total energy is -19.3 eV for the cell shown. The density of states at the Fermi level comes out at 0.8915 states/eV per atom. For the density, the calculation gives 13848 kg/m³. The calculation puts the formation energy from the elements at -1.4 eV per formula unit. As for the space-group type: F-43m, No. 216.


Number 1 is which compound? PaTlPt4